Entry 1:
# TaFe3Cu, optimized geometry, DFT PBE
# DFT formation energy: 1.61 eV per atom
# Mass density: 7.53 g cm⁻³
data_TaFe3Cu
_cell_length_a 4.496
_cell_length_b 4.496
_cell_length_c 4.496
_cell_angle_alpha 90.00
_cell_angle_beta 90.00
_cell_angle_gamma 90.00
_space_group_name_H-M_alt 'P m -3 m'
_space_group_IT_number 221
_space_group_name_Hall '-P 4 2 3'
loop_
_atom_site_label
_atom_site_fract_x
_atom_site_fract_y
_atom_site_fract_z
Ta1 0.000 0.000 0.000
Fe1 0.000 0.000 0.500
Cu1 0.500 0.500 0.500

Entry 2:
# Ta2FeCu2, optimized geometry, DFT PBE
# DFT formation energy: 0.27 eV per atom
# Mass density: 12.56 g cm⁻³
data_Ta2FeCu2
_cell_length_a 6.523
_cell_length_b 6.523
_cell_length_c 3.386
_cell_angle_alpha 90.00
_cell_angle_beta 90.00
_cell_angle_gamma 90.00
_space_group_name_H-M_alt 'P 4/m b m'
_space_group_IT_number 127
_space_group_name_Hall '-P 4 2ab'
loop_
_atom_site_label
_atom_site_fract_x
_atom_site_fract_y
_atom_site_fract_z
Ta1 0.177 0.323 0.000
Fe1 0.000 0.000 0.500
Cu1 0.127 0.627 0.500

Entry 3:
# Ta2Fe2Cu, optimized geometry, DFT PBE
# DFT formation energy: 0.05 eV per atom
# Mass density: 12.59 g cm⁻³
data_Ta2Fe2Cu
_cell_length_a 6.904
_cell_length_b 6.904
_cell_length_c 2.973
_cell_angle_alpha 90.00
_cell_angle_beta 90.00
_cell_angle_gamma 90.00
_space_group_name_H-M_alt 'P 4/m b m'
_space_group_IT_number 127
_space_group_name_Hall '-P 4 2ab'
loop_
_atom_site_label
_atom_site_fract_x
_atom_site_fract_y
_atom_site_fract_z
Ta1 0.163 0.337 0.000
Fe1 0.137 0.637 0.500
Cu1 0.000 0.000 0.500

Entry 4:
# TaFe2Cu, optimized geometry, DFT PBE
# DFT formation energy: 0.16 eV per atom
# Mass density: 10.88 g cm⁻³
data_TaFe2Cu
_cell_length_a 3.353
_cell_length_b 4.107
_cell_length_c 7.895
_cell_angle_alpha 90.00
_cell_angle_beta 90.00
_cell_angle_gamma 90.00
_space_group_name_H-M_alt 'C m m m'
_space_group_IT_number 65
_space_group_name_Hall '-C 2 2'
loop_
_atom_site_label
_atom_site_fract_x
_atom_site_fract_y
_atom_site_fract_z
Ta1 0.000 0.000 0.000
Fe1 0.000 0.500 0.267
Cu1 0.000 0.000 0.500

Entry 5:
# Ta4FeCu, optimized geometry, DFT PBE
# DFT formation energy: -0.04 eV per atom
# Mass density: 14.53 g cm⁻³
data_Ta4FeCu
_cell_length_a 6.210
_cell_length_b 6.210
_cell_length_c 4.999
_cell_angle_alpha 90.00
_cell_angle_beta 90.00
_cell_angle_gamma 90.00
_space_group_name_H-M_alt 'P 4/m c c'
_space_group_IT_number 124
_space_group_name_Hall '-P 4 2c'
loop_
_atom_site_label
_atom_site_fract_x
_atom_site_fract_y
_atom_site_fract_z
Ta1 0.152 0.332 0.000
Fe1 0.000 0.000 0.250
Cu1 0.500 0.500 0.250

Entry 6:
# TaFe2Cu, optimized geometry, DFT PBE
# DFT formation energy: 0.15 eV per atom
# Mass density: 10.87 g cm⁻³
data_TaFe2Cu
_cell_length_a 3.238
_cell_length_b 4.173
_cell_length_c 8.057
_cell_angle_alpha 90.00
_cell_angle_beta 90.00
_cell_angle_gamma 90.00
_space_group_name_H-M_alt 'C m m 2'
_space_group_IT_number 35
loop_
_space_group_symop_operation_xyz
'x,y,z'
'-x,-y,z'
'-x,y,z'
'x,-y,z'
'x+1/2,y+1/2,z'
'-x+1/2,-y+1/2,z'
'-x+1/2,y+1/2,z'
'x+1/2,-y+1/2,z'
loop_
_atom_site_label
_atom_site_fract_x
_atom_site_fract_y
_atom_site_fract_z
Ta1 0.000 0.000 0.000
Fe1 0.000 0.000 0.510
Fe2 0.000 0.500 0.738
Cu1 0.000 0.500 0.271

Entry 7:
# TaFeCu2, optimized geometry, DFT PBE
# DFT formation energy: 0.09 eV per atom
# Mass density: 11.24 g cm⁻³
data_TaFeCu2
_cell_length_a 3.103
_cell_length_b 3.103
_cell_length_c 5.582
_cell_angle_alpha 90.00
_cell_angle_beta 90.00
_cell_angle_gamma 90.00
_space_group_name_H-M_alt 'P 4 m m'
_space_group_IT_number 99
loop_
_space_group_symop_operation_xyz
'x,y,z'
'-y,x,z'
'-x,-y,z'
'y,-x,z'
'-x,y,z'
'y,x,z'
'x,-y,z'
'-y,-x,z'
loop_
_atom_site_label
_atom_site_fract_x
_atom_site_fract_y
_atom_site_fract_z
Ta1 0.000 0.000 0.000
Fe1 0.500 0.500 0.766
Cu1 0.000 0.000 0.510
Cu2 0.500 0.500 0.294

Entry 8:
# TaFeCu2, optimized geometry, DFT PBE
# DFT formation energy: 0.16 eV per atom
# Mass density: 11.18 g cm⁻³
data_TaFeCu2
_cell_length_a 2.625
_cell_length_b 4.188
_cell_length_c 4.948
_cell_angle_alpha 90.00
_cell_angle_beta 96.47
_cell_angle_gamma 90.00
_space_group_name_H-M_alt 'P 1 m 1'
_space_group_IT_number 6
loop_
_space_group_symop_operation_xyz
'x,y,z'
'x,-y,z'
loop_
_atom_site_label
_atom_site_fract_x
_atom_site_fract_y
_atom_site_fract_z
Ta1 0.000 0.000 0.000
Fe1 0.226 0.500 0.719
Cu1 0.577 0.000 0.500
Cu2 0.586 0.500 0.242

Entry 9:
# Ta2Ti5Fe2Cu, optimized geometry, DFT PBE
# DFT formation energy: -0.09 eV per atom
# Mass density: 8.27 g cm⁻³
data_Ta2Ti5Fe2Cu
_cell_length_a 10.264
_cell_length_b 10.264
_cell_length_c 2.960
_cell_angle_alpha 90.00
_cell_angle_beta 90.00
_cell_angle_gamma 90.00
_space_group_name_H-M_alt 'P 4/m b m'
_space_group_IT_number 127
_space_group_name_Hall '-P 4 2ab'
loop_
_atom_site_label
_atom_site_fract_x
_atom_site_fract_y
_atom_site_fract_z
Ta1 0.177 0.323 0.000
Ti1 0.000 0.500 0.500
Ti2 0.056 0.795 0.500
Fe1 0.133 0.633 0.000
Cu1 0.000 0.000 0.000

Entry 10:
# TaTiFeCu, optimized geometry, DFT PBE
# DFT formation energy: -0.06 eV per atom
# Mass density: 10.11 g cm⁻³
data_TaTiFeCu
_cell_length_a 6.116
_cell_length_b 6.116
_cell_length_c 6.116
_cell_angle_alpha 90.00
_cell_angle_beta 90.00
_cell_angle_gamma 90.00
_space_group_name_H-M_alt 'F -4 3 m'
_space_group_IT_number 216
_space_group_name_Hall 'F -4 2 3'
loop_
_atom_site_label
_atom_site_fract_x
_atom_site_fract_y
_atom_site_fract_z
Ta1 0.000 0.000 0.000
Ti1 0.000 0.000 0.500
Fe1 0.250 0.250 0.750
Cu1 0.250 0.250 0.250

Entry 11:
# TaTl2FeCu, optimized geometry, DFT PBE
# DFT formation energy: 1.42 eV per atom
# Mass density: 11.16 g cm⁻³
data_TaTl2FeCu
_cell_length_a 4.895
_cell_length_b 4.895
_cell_length_c 4.405
_cell_angle_alpha 90.00
_cell_angle_beta 90.00
_cell_angle_gamma 90.00
_space_group_name_H-M_alt 'P 4/m m m'
_space_group_IT_number 123
_space_group_name_Hall '-P 4 2'
loop_
_atom_site_label
_atom_site_fract_x
_atom_site_fract_y
_atom_site_fract_z
Ta1 0.000 0.000 0.000
Tl1 0.000 0.500 0.500
Fe1 0.500 0.500 0.500
Cu1 0.500 0.500 0.000

Entry 12:
# TaZnFeCu, optimized geometry, DFT PBE
# DFT formation energy: 0.07 eV per atom
# Mass density: 11.05 g cm⁻³
data_TaZnFeCu
_cell_length_a 6.036
_cell_length_b 6.036
_cell_length_c 6.036
_cell_angle_alpha 90.00
_cell_angle_beta 90.00
_cell_angle_gamma 90.00
_space_group_name_H-M_alt 'F -4 3 m'
_space_group_IT_number 216
_space_group_name_Hall 'F -4 2 3'
loop_
_atom_site_label
_atom_site_fract_x
_atom_site_fract_y
_atom_site_fract_z
Ta1 0.000 0.000 0.000
Zn1 0.000 0.000 0.500
Fe1 0.250 0.250 0.250
Cu1 0.250 0.250 0.750

Entry 13:
# ZrTaFeCu, optimized geometry, DFT PBE
# DFT formation energy: -0.01 eV per atom
# Mass density: 10.30 g cm⁻³
data_ZrTaFeCu
_cell_length_a 6.320
_cell_length_b 6.320
_cell_length_c 6.320
_cell_angle_alpha 90.00
_cell_angle_beta 90.00
_cell_angle_gamma 90.00
_space_group_name_H-M_alt 'F -4 3 m'
_space_group_IT_number 216
_space_group_name_Hall 'F -4 2 3'
loop_
_atom_site_label
_atom_site_fract_x
_atom_site_fract_y
_atom_site_fract_z
Zr1 0.000 0.000 0.000
Ta1 0.000 0.000 0.500
Fe1 0.250 0.250 0.750
Cu1 0.250 0.250 0.250

Entry 14:
# Tb2FeCu, optimized geometry, DFT PBE
# DFT formation energy: -0.03 eV per atom
# Mass density: 9.15 g cm⁻³
data_Tb2FeCu
_cell_length_a 3.363
_cell_length_b 3.363
_cell_length_c 7.018
_cell_angle_alpha 90.00
_cell_angle_beta 90.00
_cell_angle_gamma 90.00
_space_group_name_H-M_alt 'P 4/m m m'
_space_group_IT_number 123
_space_group_name_Hall '-P 4 2'
loop_
_atom_site_label
_atom_site_fract_x
_atom_site_fract_y
_atom_site_fract_z
Tb1 0.000 0.000 0.234
Fe1 0.500 0.500 0.000
Cu1 0.500 0.500 0.500

Entry 15:
# TbFeCu, optimized geometry, DFT PBE
# DFT formation energy: 0.31 eV per atom
# Mass density: 7.42 g cm⁻³
data_TbFeCu
_cell_length_a 6.758
_cell_length_b 6.758
_cell_length_c 5.453
_cell_angle_alpha 90.00
_cell_angle_beta 90.00
_cell_angle_gamma 90.00
_space_group_name_H-M_alt 'P 41 21 2'
_space_group_IT_number 92
loop_
_space_group_symop_operation_xyz
'x,y,z'
'-y+1/2,x+1/2,z+1/4'
'-x,-y,z+1/2'
'y+1/2,-x+1/2,z+3/4'
'x+1/2,-y+1/2,-z+3/4'
'-y,-x,-z+1/2'
'-x+1/2,y+1/2,-z+1/4'
'y,x,-z'
loop_
_atom_site_label
_atom_site_fract_x
_atom_site_fract_y
_atom_site_fract_z
Tb1 0.225 0.225 0.000
Fe1 0.054 0.054 0.500
Cu1 0.198 0.802 0.750

Entry 16:
# Tb2FeCu, optimized geometry, DFT PBE
# DFT formation energy: 0.62 eV per atom
# Mass density: 8.19 g cm⁻³
data_Tb2FeCu
_cell_length_a 3.2006
_cell_length_b 3.2006
_cell_length_c 29.9969
_cell_angle_alpha 90.00
_cell_angle_beta 90.00
_cell_angle_gamma 120.00
_space_group_name_H-M_alt 'R -3 m'
_space_group_IT_number 166
_space_group_name_Hall '-R 3 2"'
loop_
_atom_site_label
_atom_site_fract_x
_atom_site_fract_y
_atom_site_fract_z
Tb1 0.0000 0.0000 0.0895
Fe1 0.0000 0.0000 0.0000
Cu1 0.0000 0.0000 0.5000

Entry 17:
# TbFeCu, optimized geometry, DFT PBE
# DFT formation energy: -0.04 eV per atom
# Mass density: 9.40 g cm⁻³
data_TbFeCu
_cell_length_a 5.087
_cell_length_b 5.124
_cell_length_c 7.547
_cell_angle_alpha 90.00
_cell_angle_beta 90.00
_cell_angle_gamma 90.00
_space_group_name_H-M_alt 'I m m a'
_space_group_IT_number 74
_space_group_name_Hall '-I 2b 2'
loop_
_atom_site_label
_atom_site_fract_x
_atom_site_fract_y
_atom_site_fract_z
Tb1 0.000 0.250 0.122
Fe1 0.250 0.250 0.750
Cu1 0.000 0.000 0.500

Entry 18:
# TbThFeCu, optimized geometry, DFT PBE
# DFT formation energy: -0.01 eV per atom
# Mass density: 10.04 g cm⁻³
data_TbThFeCu
_cell_length_a 6.962
_cell_length_b 6.962
_cell_length_c 6.962
_cell_angle_alpha 90.00
_cell_angle_beta 90.00
_cell_angle_gamma 90.00
_space_group_name_H-M_alt 'F -4 3 m'
_space_group_IT_number 216
_space_group_name_Hall 'F -4 2 3'
loop_
_atom_site_label
_atom_site_fract_x
_atom_site_fract_y
_atom_site_fract_z
Tb1 0.000 0.000 0.000
Th1 0.000 0.000 0.500
Fe1 0.250 0.250 0.750
Cu1 0.250 0.250 0.250

Entry 19:
# TbYFeCu, optimized geometry, DFT PBE
# DFT formation energy: 0.00 eV per atom
# Mass density: 7.74 g cm⁻³
data_TbYFeCu
_cell_length_a 6.806
_cell_length_b 6.806
_cell_length_c 6.806
_cell_angle_alpha 90.00
_cell_angle_beta 90.00
_cell_angle_gamma 90.00
_space_group_name_H-M_alt 'F -4 3 m'
_space_group_IT_number 216
_space_group_name_Hall 'F -4 2 3'
loop_
_atom_site_label
_atom_site_fract_x
_atom_site_fract_y
_atom_site_fract_z
Tb1 0.000 0.000 0.000
Y1 0.000 0.000 0.500
Fe1 0.250 0.250 0.750
Cu1 0.250 0.250 0.250

Entry 20:
# TbZrFeCu, optimized geometry, DFT PBE
# DFT formation energy: -0.03 eV per atom
# Mass density: 8.36 g cm⁻³
data_TbZrFeCu
_cell_length_a 6.647
_cell_length_b 6.647
_cell_length_c 6.647
_cell_angle_alpha 90.00
_cell_angle_beta 90.00
_cell_angle_gamma 90.00
_space_group_name_H-M_alt 'F -4 3 m'
_space_group_IT_number 216
_space_group_name_Hall 'F -4 2 3'
loop_
_atom_site_label
_atom_site_fract_x
_atom_site_fract_y
_atom_site_fract_z
Tb1 0.000 0.000 0.000
Zr1 0.000 0.000 0.500
Fe1 0.250 0.250 0.750
Cu1 0.250 0.250 0.250